No. 1
Entry from OQMD via LeMat-Bulk: a relaxed Sc5Tl3Cd crystal (PBE-GGA).

Cell: 8.7859 8.7859 6.2720 Å, 90.00 90.00 120.00°
Closest atoms and distances in Å follow each position.
Fractional coordinates of all 18 atoms:
Cd 0.0000 0.0000 0.0000  6 Sc 3.03, 2 Cd 3.14
Cd 0.0000 0.0000 0.5000  6 Sc 3.03, 2 Cd 3.14
Sc 0.6667 0.3333 0.5000  8 Sc 3.14-3.49, 6 Tl 3.19
Sc 0.2945 0.2945 0.2500  5 Tl 2.95-3.21, 2 Cd 3.03
Sc 0.7055 0.7055 0.7500  5 Tl 2.95-3.21, 2 Cd 3.03
Sc 0.3333 0.6667 0.5000  8 Sc 3.14-3.49, 6 Tl 3.19
Sc 0.0000 0.7055 0.2500  5 Tl 2.95-3.21, 2 Cd 3.03
Sc 0.7055 0.0000 0.2500  5 Tl 2.95-3.21, 2 Cd 3.03
Sc 0.6667 0.3333 0.0000  8 Sc 3.14-3.49, 6 Tl 3.19
Sc 0.2945 0.0000 0.7500  5 Tl 2.95-3.21, 2 Cd 3.03
Sc 0.3333 0.6667 0.0000  8 Sc 3.14-3.49, 6 Tl 3.19
Sc 0.0000 0.2945 0.7500  5 Tl 2.95-3.21, 2 Cd 3.03
Tl 0.3698 0.0000 0.2500  9 Sc 2.95-3.21
Tl 0.6302 0.6302 0.2500  9 Sc 2.95-3.21
Tl 0.0000 0.6302 0.7500  9 Sc 2.95-3.21
Tl 0.0000 0.3698 0.2500  9 Sc 2.95-3.21
Tl 0.6302 0.0000 0.7500  9 Sc 2.95-3.21
Tl 0.3698 0.3698 0.7500  9 Sc 2.95-3.21

Results
Crystal system   hexagonal
Space-group type   P6_3/mcm
E   -4.703 eV per atom

***

No. 2
Entry from OQMD via LeMat-Bulk: a relaxed Sc2TlCd crystal (PBE-GGA).

Cell: 6.6646 6.6767 8.1213 Å, 90.00 90.00 90.00°
Closest atoms and distances in Å follow each position.
Fractional coordinates of all 16 atoms:
Tl 0.2500 0.7500 0.0000  8 Sc 3.11, 4 Cd 3.33-3.34
Tl 0.2500 0.7500 0.5000  8 Sc 3.11, 4 Cd 3.33-3.34
Tl 0.7500 0.2500 0.5000  8 Sc 3.11, 4 Cd 3.33-3.34
Tl 0.7500 0.2500 0.0000  8 Sc 3.11, 4 Cd 3.33-3.34
Sc 0.0000 0.0000 0.2500  4 Tl 3.11, 4 Cd 3.11, 4 Sc 3.33-3.34
Sc 0.5000 0.5000 0.7500  4 Tl 3.11, 4 Cd 3.11, 4 Sc 3.33-3.34
Sc 0.5000 0.0000 0.7500  4 Tl 3.11, 4 Cd 3.11, 4 Sc 3.33-3.34
Sc 0.5000 0.5000 0.2500  4 Tl 3.11, 4 Cd 3.11, 4 Sc 3.33-3.34
Sc 0.0000 0.5000 0.7500  4 Tl 3.11, 4 Cd 3.11, 4 Sc 3.33-3.34
Sc 0.5000 0.0000 0.2500  4 Tl 3.11, 4 Cd 3.11, 4 Sc 3.33-3.34
Sc 0.0000 0.5000 0.2500  4 Tl 3.11, 4 Cd 3.11, 4 Sc 3.33-3.34
Sc 0.0000 0.0000 0.7500  4 Cd 3.11, 4 Tl 3.11, 4 Sc 3.33-3.34
Cd 0.2500 0.2500 0.5000  8 Sc 3.11, 4 Tl 3.33-3.34
Cd 0.7500 0.7500 0.5000  8 Sc 3.11, 4 Tl 3.33-3.34
Cd 0.7500 0.7500 0.0000  8 Sc 3.11, 4 Tl 3.33-3.34
Cd 0.2500 0.2500 0.0000  8 Sc 3.11, 4 Tl 3.33-3.34

Results
Crystal system   orthorhombic
Space-group type   Cmmm
E   -4.269 eV per atom

***

No. 3
Entry from OQMD via LeMat-Bulk: a relaxed Sc2TlCd crystal (PBE-GGA).

Cell: 4.9956 4.9956 3.6247 Å, 90.00 90.00 90.00°
Closest atoms and distances in Å follow each position.
Fractional coordinates of all 4 atoms:
Tl 0.5000 0.5000 0.0000  8 Sc 3.09
Cd 0.0000 0.0000 0.0000  8 Sc 3.09
Sc 0.0000 0.5000 0.5000  4 Tl 3.09, 4 Cd 3.09
Sc 0.5000 0.0000 0.5000  4 Tl 3.09, 4 Cd 3.09

Results
Crystal system   tetragonal
Space-group type   P4/mmm
E   -4.273 eV per atom

***

No. 4
Entry from OQMD via LeMat-Bulk: a relaxed Sc2TlCd crystal (PBE-GGA).

Cell: 4.9639 4.9639 9.5402 Å, 90.00 90.00 120.00°
Closest atoms and distances in Å follow each position.
Fractional coordinates of all 8 atoms:
Cd 0.3333 0.6667 0.2500  8 Sc 3.21-3.26
Cd 0.6667 0.3333 0.7500  8 Sc 3.21-3.26
Tl 0.0000 0.0000 0.5000  6 Sc 2.98
Tl 0.0000 0.0000 0.0000  6 Sc 2.98
Sc 0.3333 0.6667 0.9137  3 Tl 2.98, 4 Sc 3.12-3.31, 4 Cd 3.21-3.26
Sc 0.6667 0.3333 0.0863  3 Tl 2.98, 4 Sc 3.12-3.31, 4 Cd 3.21-3.26
Sc 0.3333 0.6667 0.5863  3 Tl 2.98, 4 Sc 3.12-3.31, 4 Cd 3.21-3.26
Sc 0.6667 0.3333 0.4137  3 Tl 2.98, 4 Sc 3.12-3.31, 4 Cd 3.21-3.26

Results
Crystal system   hexagonal
Space-group type   P6_3/mmc
E   -3.993 eV per atom

***

No. 5
Entry from OQMD via LeMat-Bulk: a relaxed Sc2TlCd crystal (PBE-GGA).

Cell: 4.9071 4.9071 9.5089 Å, 90.00 90.00 120.00°
Closest atoms and distances in Å follow each position.
Fractional coordinates of all 8 atoms:
Sc 0.3333 0.6667 0.0910  4 Sc 3.02-3.32, 4 Cd 3.21-3.24, 3 Tl 3.21
Sc 0.3333 0.6667 0.4090  4 Sc 3.02-3.32, 4 Cd 3.21-3.24, 3 Tl 3.21
Sc 0.6667 0.3333 0.5910  4 Sc 3.02-3.32, 4 Cd 3.21-3.24, 3 Tl 3.21
Sc 0.6667 0.3333 0.9090  4 Sc 3.02-3.32, 4 Cd 3.21-3.24, 3 Tl 3.21
Tl 0.0000 0.0000 0.2500  3 Cd 2.83
Tl 0.0000 0.0000 0.7500  3 Cd 2.83
Cd 0.6667 0.3333 0.2500  3 Tl 2.83
Cd 0.3333 0.6667 0.7500  3 Tl 2.83

Results
Crystal system   hexagonal
Space-group type   P6_3/mmc
E   -3.885 eV per atom

***

No. 6
Entry from OQMD via LeMat-Bulk: a relaxed Sc2TlCd2 crystal (PBE-GGA).

Cell: 7.6599 7.6599 7.6599 Å, 148.57 148.57 45.05°
Closest atoms and distances in Å follow each position.
Fractional coordinates of all 5 atoms:
Tl 0.0000 0.0000 0.0000  8 Sc 3.24
Sc 0.4034 0.4034 0.0000  1 Sc 2.73, 4 Cd 3.00
Sc 0.5966 0.5966 0.0000  1 Sc 2.73, 4 Cd 3.00
Cd 0.7500 0.2500 0.5000  4 Cd 2.93, 4 Sc 3.00
Cd 0.2500 0.7500 0.5000  4 Cd 2.93, 4 Sc 3.00

Results
Crystal system   tetragonal
Space-group type   I4/mmm
E   -3.246 eV per atom

***

No. 7
Entry from OQMD via LeMat-Bulk: a relaxed YScTlCd crystal (PBE-GGA).

Cell: 5.1892 5.1892 5.1892 Å, 60.00 60.00 60.00°
Closest atoms and distances in Å follow each position.
Fractional coordinates of all 4 atoms:
Sc 0.2500 0.2500 0.2500  4 Tl 3.18, 4 Cd 3.18
Tl 0.5000 0.5000 0.5000  4 Sc 3.18, 4 Y 3.18
Cd 0.0000 0.0000 0.0000  4 Sc 3.18, 4 Y 3.18
Y 0.7500 0.7500 0.7500  4 Cd 3.18, 4 Tl 3.18

Results
Crystal system   cubic
Space-group type   F-43m
E   -4.344 eV per atom

***

No. 8
Entry from OQMD via LeMat-Bulk: a relaxed YScTlCd crystal (PBE-GGA).

Cell: 5.2502 5.2502 5.2502 Å, 60.00 60.00 60.00°
Closest atoms and distances in Å follow each position.
Fractional coordinates of all 4 atoms:
Tl 0.2500 0.2500 0.2500  4 Sc 3.22, 4 Cd 3.22
Y 0.7500 0.7500 0.7500  4 Sc 3.22, 4 Cd 3.22
Sc 0.5000 0.5000 0.5000  4 Tl 3.22, 4 Y 3.22
Cd 0.0000 0.0000 0.0000  4 Y 3.22, 4 Tl 3.22

Results
Crystal system   cubic
Space-group type   F-43m
E   -3.933 eV per atom

***

The highest E belongs to which entry?
Sc2TlCd2